No. 1
# PaSn2Pd

A relaxed structure of PaSn2Pd (PBE-GGA, the Alexandria database).

Structure (extended XYZ):
```
4
Lattice="-0.6389 -0.6281 3.1741 1.6930 -2.8220 -0.2177 6.7425 3.8811 2.1253" Properties=species:S:1:pos:R:3 pbc="T T T"
Sn 4.8130 2.7704 1.5171
Sn 1.9296 1.1107 0.6082
Pa 0.5270 -1.7251 1.4782
Pd 3.8983 0.2154 2.5409
```

Calculated values
* total magnetization: 0.151 μB/f.u.
* space-group type: P4/mmm (123)
* ρ: 10.88 g/cm³

***

No. 2
# Pa2SnPd6

A relaxed structure of Pa2SnPd6 (PBE-GGA, the Alexandria database).

Structure (extended XYZ):
```
9
Lattice="-3.9315 -2.2328 -4.2180 -3.0800 -2.4107 4.1470 -4.2609 2.8983 2.4374" Properties=species:S:1:pos:R:3 pbc="T T T"
Pd -3.9417 -1.4216 -1.6918
Pd -5.4028 -2.5644 0.2722
Pd -5.8696 0.8191 2.0942
Pd -5.3101 -1.6962 2.9043
Pd -5.9623 -0.0491 -0.5378
Pd -7.3307 -0.3237 4.0583
Pa -3.2746 -0.3079 1.3056
Pa -7.9978 -1.4374 1.0608
Sn 0.0000 0.0000 0.0000
```

Calculated values
* total magnetization: 0.000 μB/f.u.
* space-group type: P-3m1 (164)
* ρ: 11.63 g/cm³

***

No. 3
# Pa2Sn2Pd5

A relaxed structure of Pa2Sn2Pd5 (PBE-GGA, the Alexandria database).

Structure (extended XYZ):
```
18
Lattice="7.0990 0.0000 0.0000 0.0000 7.1440 0.0000 -3.5495 -3.5720 7.5052" Properties=species:S:1:pos:R:3 pbc="T T T"
Pd -1.3011 -1.2019 3.7526
Pd 4.9016 5.5307 0.1178
Pd 1.3063 -0.9519 5.1020
Pd 1.3063 -0.9519 2.4032
Pd 2.2432 2.6201 2.4032
Pd -2.1974 -1.6133 7.3874
Pd 4.8506 2.3701 3.7526
Pd 2.2432 2.6201 5.1020
Pd 5.7469 1.9587 0.1178
Pd -1.3521 1.9587 7.3874
Pa 3.9643 0.3445 5.6716
Pa 3.9643 0.3445 1.8336
Pa -0.4148 3.9165 1.8336
Pa -0.4148 3.9165 5.6716
Sn 0.2445 1.1842 3.7526
Sn 3.5495 3.2875 0.0000
Sn 3.3050 4.7562 3.7526
Sn 0.0000 6.8595 0.0000
```

Calculated values
* total magnetization: 1.264 μB/f.u.
* space-group type: Ima2 (46)
* ρ: 10.75 g/cm³

***

No. 4
# Pa2Sn8Pd

A relaxed structure of Pa2Sn8Pd (PBE-GGA, the Alexandria database).

Structure (extended XYZ):
```
11
Lattice="4.6290 0.0000 0.0000 0.0000 4.6290 0.0000 0.0000 0.0000 12.6971" Properties=species:S:1:pos:R:3 pbc="T T T"
Sn 2.3145 0.0000 6.3485
Sn 2.3145 0.0000 11.0531
Sn 2.3145 2.3145 4.0150
Sn 2.3145 0.0000 1.6439
Sn 0.0000 2.3145 1.6439
Sn 0.0000 2.3145 6.3485
Sn 2.3145 2.3145 8.6821
Sn 0.0000 2.3145 11.0531
Pd 0.0000 0.0000 0.0000
Pa 0.0000 0.0000 4.0534
Pa 0.0000 0.0000 8.6437
```

Calculated values
* total magnetization: 0.000 μB/f.u.
* space-group type: P4/mmm (123)
* ρ: 9.27 g/cm³

***

No. 5
# Pa2Sn3Pd8

A relaxed structure of Pa2Sn3Pd8 (PBE-GGA, the Alexandria database).

Structure (extended XYZ):
```
13
Lattice="-3.4091 1.8441 3.6997 -2.8548 -3.4340 2.9612 5.7777 -0.7322 9.5689" Properties=species:S:1:pos:R:3 pbc="T T T"
Pd -0.0306 0.0146 9.6832
Pd -1.4759 -0.5457 2.7922
Pd 0.2491 -2.6494 9.3104
Pd -0.4557 -2.3367 6.5467
Pd -0.7354 0.3273 6.9195
Pd 0.9896 -1.7763 13.4377
Pd -2.1763 -1.4059 8.4141
Pd 1.6900 -0.9161 7.8158
Sn 0.0000 0.0000 0.0000
Sn -0.9868 -1.7255 11.5912
Sn 0.5005 -0.5965 4.6386
Pa -2.8091 -1.0950 5.7177
Pa 2.3228 -1.2270 10.5122
```

Calculated values
* total magnetization: 0.000 μB/f.u.
* space-group type: R-3m (166)
* ρ: 10.36 g/cm³

***

No. 6
# Pa2Sn2Pd3

A relaxed structure of Pa2Sn2Pd3 (PBE-GGA, the Alexandria database).

Structure (extended XYZ):
```
14
Lattice="7.4459 -0.0002 0.0000 -2.4821 7.0202 -0.0001 -2.4819 -3.5101 6.0795" Properties=species:S:1:pos:R:3 pbc="T T T"
Pa 1.2583 1.7070 3.0398
Pa 6.1538 3.5099 0.0001
Pa 3.7401 0.0240 0.0417
Pa -1.2239 -1.7307 2.9980
Pd 3.7882 5.2187 0.0795
Pd 1.1755 -0.8315 1.5997
Pd 1.3063 -0.7851 4.5595
Pd 3.6578 0.0457 2.9600
Pd 3.7881 2.5862 1.4402
Pd 6.1397 0.7855 1.5199
Sn -2.2229 -3.1438 5.4454
Sn 0.2582 4.5326 3.0395
Sn 1.7053 3.5100 0.0000
Sn -2.2232 2.1209 3.6741
```

Calculated values
* total magnetization: 1.389 μB/f.u.
* space-group type: I2_13 (199)
* ρ: 10.65 g/cm³

***

No. 7
# PaSn2Pd

A relaxed structure of PaSn2Pd (PBE-GGA, the Alexandria database).

Structure (extended XYZ):
```
4
Lattice="-2.6574 1.7949 -0.0077 -2.6739 -1.1002 -1.3866 -4.7560 -4.1392 8.7477" Properties=species:S:1:pos:R:3 pbc="T T T"
Sn -3.8611 -2.8262 5.9803
Sn -6.2261 -0.6183 1.3730
Pd -5.0436 -1.7223 3.6767
Pa 0.0000 0.0000 0.0000
```

Calculated values
* total magnetization: 0.051 μB/f.u.
* space-group type: R-3m (166)
* ρ: 10.09 g/cm³

***

No. 8
# PaSnPd2

A relaxed structure of PaSnPd2 (PBE-GGA, the Alexandria database).

Structure (extended XYZ):
```
4
Lattice="-2.9527 0.8330 1.1472 -0.3937 -3.0280 1.1852 3.1022 2.1196 6.4455" Properties=species:S:1:pos:R:3 pbc="T T T"
Sn -1.6732 -1.0975 1.1662
Pa -0.1221 -0.0377 4.3890
Pd 2.3584 1.6114 4.9002
Pd 0.7437 0.5082 1.5453
```

Calculated values
* total magnetization: 0.000 μB/f.u.
* space-group type: P4/mmm (123)
* ρ: 11.67 g/cm³
* E above lowest polymorph: 0.160 eV per atom

***

| no. | formation energy from the elements (eV per atom) |
| --- | --- |
| 1 | -0.266 |
| 2 | -0.570 |
| 3 | -0.414 |
| 4 | -0.248 |
| 5 | -0.387 |
| 6 | -0.349 |
| 7 | -0.030 |
| 8 | -0.458 |